The following is a PBE calculation of a relaxed structure of CsReS2N, from the Alexandria database.

Computed properties:
The value obtained for the uncorrected energy is -6.01 eV per atom. Its size of the total moment is 0.000 μB/cell. The energy above the lowest structure with this stoichiometry comes out at 0.00 kJ per mole of atoms. As for the symmetry: No. 123.

Lattice parameters (Å, degrees): 4.995 4.995 3.888 90.00 90.00 90.00
Positions (direct):
S1 0.000 0.500 0.000
Re1 0.000 0.000 0.000
Cs1 0.500 0.500 0.500
S2 0.500 0.000 0.000
N1 0.000 0.000 0.500